DFT (GGA-PBE) results for a relaxed BaSbOF2 crystal.

## Properties
The value obtained for the magnetization is 0.200 μB/atom. The formation energy without anion corrections is -1.409 eV/atom.

Unit cell a=4.904 b=4.904 c=5.263 alpha=90.00 beta=90.00 gamma=90.00
Site moments in Bohr magnetons follow the coordinates.
Positions (direct):
Sb 0.500 0.500 0.500  0.67
Ba 0.000 0.000 0.000  -0.01
O 0.000 0.000 0.500  -0.58
F 0.000 0.500 0.000  0.04
F 0.500 0.000 0.000  0.04

DFT (GGA-PBE) results for a relaxed BaSbOF2 crystal.

## Properties
The value obtained for the magnetization is 0.000 μB/atom. The formation energy without anion corrections is -2.036 eV/atom.

Unit cell a=4.791 b=4.791 c=4.373 alpha=90.00 beta=90.00 gamma=90.00
Positions (direct):
Sb 0.000 0.000 0.000
Ba 0.500 0.500 0.500
O 0.000 0.000 0.500
F 0.000 0.500 0.000
F 0.500 0.000 0.000

DFT (GGA-PBE) results for a relaxed Ba3Sc2O5F2 crystal.

## Properties
The value obtained for the magnetization is 0.000 μB/atom. The formation energy without anion corrections is -3.339 eV/atom.

Unit cell a=4.191 b=4.191 c=11.646 alpha=100.37 beta=100.37 gamma=90.00
Positions (direct):
Ba 0.175 0.175 0.350
Ba 0.825 0.825 0.650
Ba 0.000 0.000 0.000
Sc 0.411 0.411 0.821
Sc 0.589 0.589 0.179
O 0.601 0.101 0.201
O 0.399 0.899 0.799
O 0.101 0.601 0.201
O 0.899 0.399 0.799
O 0.500 0.500 0.000
F 0.702 0.702 0.403
F 0.298 0.298 0.597

DFT (GGA-PBE) results for a relaxed BaSe2O6F crystal.

## Properties
The value obtained for the magnetization is 0.000 μB/atom. The formation energy without anion corrections is -1.230 eV/atom.

Unit cell a=5.258 b=9.081 c=9.081 alpha=81.72 beta=78.83 gamma=78.83
Positions (direct):
Ba 0.250 0.140 0.860
Ba 0.750 0.860 0.140
Se 0.302 0.773 0.590
Se 0.198 0.410 0.227
Se 0.698 0.227 0.410
Se 0.802 0.590 0.773
O 0.286 0.936 0.653
O 0.214 0.347 0.064
O 0.714 0.064 0.347
O 0.786 0.653 0.936
O 0.443 0.762 0.413
O 0.057 0.587 0.238
O 0.557 0.238 0.587
O 0.943 0.413 0.762
O 0.940 0.712 0.623
O 0.560 0.377 0.288
O 0.060 0.288 0.377
O 0.440 0.623 0.712
F 0.250 0.925 0.075
F 0.750 0.075 0.925